(1)
Density functional theory data (GGA-PBE) for PaRe2Si after structural relaxation.

## Properties
Energy relative to the elements, uncorrected, eV per formula unit: 0.199
Crystal system: tetragonal
Distance to the lowest polymorph of the same formula, eV/f.u.: 1.02
ρ, g/cm³: 15.60
Space group: P4/mmm
Energy, eV per atom: -9.9041

abc: 3.0341 3.0341 7.3022
angles: 90.00 90.00 90.00
Last column: nearest neighbours and their distance in Å.
Fractional coordinates of all 4 atoms:
Pa: 0.0000 0.0000 0.0000  4 Pa 3.03, 8 Re 3.11
Re: 0.5000 0.5000 0.3092  4 Si 2.56, 1 Re 2.79
Re: 0.5000 0.5000 0.6908  4 Si 2.56, 1 Re 2.79
Si: 0.0000 0.0000 0.5000  8 Re 2.56

(2)
Density functional theory data (GGA-PBE) for U2Tl3HgO9 after structural relaxation.

## Properties
Energy relative to the elements, uncorrected, eV per formula unit: -27.876
Crystal system: trigonal
ρ, g/cm³: 9.47
Space group: P-3m1
Energy, eV per atom: -6.8318

abc: 6.1667 6.1667 7.6333
angles: 90.00 90.00 120.00
Last column: nearest neighbours and their distance in Å.
Fractional coordinates of all 15 atoms:
U: 0.3333 0.6667 0.1627  6 O 2.02-2.17
U: 0.6667 0.3333 0.8373  6 O 2.02-2.17
Tl: 0.0000 0.0000 0.0000  12 O 3.04-3.08
Tl: 0.3333 0.6667 0.6480  12 O 3.06-3.22
Tl: 0.6667 0.3333 0.3520  12 O 3.06-3.22
Hg: 0.0000 0.0000 0.5000  6 O 2.38
O: 0.0000 0.5000 0.0000  2 U 2.17
O: 0.1770 0.3541 0.3117  1 U 2.02
O: 0.1770 0.8230 0.3117  1 U 2.02
O: 0.3541 0.1770 0.6883  1 U 2.02
O: 0.5000 0.0000 0.0000  2 U 2.17
O: 0.5000 0.5000 0.0000  2 U 2.17
O: 0.6459 0.8230 0.3117  1 U 2.02
O: 0.8230 0.1770 0.6883  1 U 2.02
O: 0.8230 0.6459 0.6883  1 U 2.02

(3)
Density functional theory data (GGA-PBE) for CeC2ClO6 after structural relaxation.

## Properties
Energy relative to the elements, uncorrected, eV per formula unit: -16.974
Crystal system: monoclinic
ρ, g/cm³: 3.54
Space group: C2/c
Energy, eV per atom: -7.2951

abc: 6.4024 6.4024 8.3052
angles: 115.34 115.34 76.12
Last column: nearest neighbours and their distance in Å.
Fractional coordinates of all 20 atoms:
Ce: 0.0392 0.9608 0.7500  6 O 2.26-2.49
Ce: 0.9608 0.0392 0.2500  6 O 2.26-2.49
C: 0.1218 0.3964 0.7466  3 O 1.27-1.31
C: 0.3964 0.1218 0.2466  3 O 1.27-1.31
C: 0.6036 0.8782 0.7534  3 O 1.27-1.31
C: 0.8782 0.6036 0.2534  3 O 1.27-1.31
Cl: 0.3427 0.6573 0.2500  2 O 2.61
Cl: 0.6573 0.3427 0.7500  2 O 2.61
O: 0.0565 0.2138 0.5878  1 C 1.31
O: 0.1184 0.5948 0.7451  1 C 1.27
O: 0.1830 0.3545 0.9001  1 C 1.29
O: 0.2138 0.0565 0.0878  1 C 1.31
O: 0.3545 0.1830 0.4001  1 C 1.29
O: 0.4052 0.8816 0.7549  1 C 1.27
O: 0.5948 0.1184 0.2451  1 C 1.27
O: 0.6455 0.8170 0.5999  1 C 1.29
O: 0.7862 0.9435 0.9122  1 C 1.31
O: 0.8170 0.6455 0.0999  1 C 1.29
O: 0.8816 0.4052 0.2549  1 C 1.27
O: 0.9435 0.7862 0.4122  1 C 1.31

(4)
Density functional theory data (GGA-PBE) for Dy4Te3H2 after structural relaxation.

## Properties
Crystal system: monoclinic
ρ, g/cm³: 8.45
Space group: C2/m
Energy, eV per atom: -4.8271

abc: 7.0760 7.0760 8.5911
angles: 117.56 117.56 32.66
Last column: nearest neighbours and their distance in Å.
Fractional coordinates of all 9 atoms:
Dy: 0.1018 0.1018 0.4081  3 H 2.43-2.44
Dy: 0.3157 0.3157 0.8926  1 H 2.29
Dy: 0.6843 0.6843 0.1074  1 H 2.29
Dy: 0.8982 0.8982 0.5920  3 H 2.43-2.44
Te: 0.0000 0.0000 0.0000  6 Dy 2.97-3.09
Te: 0.3816 0.3816 0.2938  7 Dy 3.09-3.32, 1 H 3.42, 1 Te 3.45
Te: 0.6184 0.6184 0.7062  7 Dy 3.09-3.32, 1 H 3.42, 1 Te 3.45
H: 0.3024 0.3024 0.6166  4 Dy 2.29-2.44
H: 0.6976 0.6976 0.3834  4 Dy 2.29-2.44